[1]
VASP calculation (PBE) on crystalline Er2Te2H at its relaxed geometry.

M_tot	0.0	Bohr magnetons per cell
calculated volume	23.994	A^3/atom
raw total energy	-4.721	eV/atom
theoretical density	8.18	Mg/m³

a = 5.7414 Å, b = 5.7414 Å, c = 11.3665 Å
α = 90.00°, β = 90.00°, γ = 140.18°
Fractional positions:
Er 0.0556 0.9444 0.5000
Er 0.2241 0.7759 0.7508
Er 0.7759 0.2241 0.2508
Er 0.9444 0.0556 0.0000
Te 0.0641 0.9359 0.2381
Te 0.3344 0.6656 0.4577
Te 0.6656 0.3344 0.9577
Te 0.9359 0.0641 0.7381
H 0.3638 0.6362 0.1095
H 0.6362 0.3638 0.6095

[2]
VASP calculation (PBE) on crystalline Er2TeH4 at its relaxed geometry.

M_tot	0.0	Bohr magnetons per cell
calculated volume	13.236	A^3/atom
raw total energy	-4.488	eV/atom
theoretical density	8.35	Mg/m³

a = 7.7718 Å, b = 7.7718 Å, c = 7.7718 Å
α = 28.21°, β = 28.21°, γ = 28.21°
Fractional positions:
Er 0.2360 0.2360 0.2360
Er 0.7640 0.7640 0.7640
Te 0.0000 0.0000 0.0000
H 0.1380 0.1380 0.1380
H 0.4355 0.4355 0.4355
H 0.5645 0.5645 0.5645
H 0.8620 0.8620 0.8620

[3]
VASP calculation (PBE) on crystalline Er6Te3H at its relaxed geometry.

M_tot	0.0	Bohr magnetons per cell
calculated volume	26.475	A^3/atom
raw total energy	-4.758	eV/atom
theoretical density	8.70	Mg/m³

a = 9.3564 Å, b = 9.3564 Å, c = 6.2243 Å
α = 90.00°, β = 90.00°, γ = 103.66°
Fractional positions:
Er 0.0629 0.9371 0.5000
Er 0.1000 0.5617 0.5839
Er 0.2275 0.7725 0.1108
Er 0.2605 0.4090 0.9886
Er 0.4090 0.2605 0.4886
Er 0.4383 0.9000 0.5839
Er 0.5617 0.1000 0.0839
Er 0.5910 0.7395 0.9886
Er 0.7395 0.5910 0.4886
Er 0.7725 0.2275 0.6108
Er 0.9000 0.4383 0.0839
Er 0.9371 0.0629 0.0000
Te 0.0804 0.2576 0.3739
Te 0.2576 0.0804 0.8739
Te 0.4137 0.5863 0.3822
Te 0.5863 0.4137 0.8822
Te 0.7424 0.9196 0.3739
Te 0.9196 0.7424 0.8739
H 0.2087 0.7913 0.4768
H 0.7913 0.2087 0.9768

[4]
VASP calculation (PBE) on crystalline Er4Te5H2 at its relaxed geometry.

M_tot	0.0	Bohr magnetons per cell
calculated volume	32.394	A^3/atom
raw total energy	-4.841	eV/atom
theoretical density	6.10	Mg/m³

a = 10.6440 Å, b = 10.6440 Å, c = 8.4349 Å
α = 103.57°, β = 103.57°, γ = 22.58°
Fractional positions:
Er 0.0418 0.0418 0.2699
Er 0.3306 0.3306 0.4739
Er 0.6694 0.6694 0.5261
Er 0.9582 0.9582 0.7301
Te 0.0943 0.0943 0.6593
Te 0.1895 0.1895 0.2753
Te 0.5000 0.5000 0.0000
Te 0.8105 0.8105 0.7247
Te 0.9057 0.9057 0.3407
H 0.4249 0.4249 0.6475
H 0.5751 0.5751 0.3525

[5]
VASP calculation (PBE) on crystalline ErTeH at its relaxed geometry.

M_tot	0.0	Bohr magnetons per cell
calculated volume	20.424	A^3/atom
raw total energy	-4.721	eV/atom
theoretical density	8.02	Mg/m³

a = 6.0882 Å, b = 5.9297 Å, c = 7.3811 Å
α = 90.00°, β = 113.11°, γ = 90.00°
Fractional positions:
Er 0.1436 0.1411 0.2219
Er 0.1436 0.3589 0.7219
Er 0.8564 0.6411 0.2781
Er 0.8564 0.8589 0.7781
Te 0.2950 0.6213 0.1200
Te 0.2950 0.8787 0.6200
Te 0.7050 0.1213 0.3800
Te 0.7050 0.3787 0.8800
H 0.1400 0.0964 0.9301
H 0.1400 0.4036 0.4301
H 0.8600 0.5964 0.5699
H 0.8600 0.9036 0.0699

[6]
VASP calculation (PBE) on crystalline Er6Te2H at its relaxed geometry.

M_tot	0.0	Bohr magnetons per cell
calculated volume	25.516	A^3/atom
raw total energy	-4.717	eV/atom
theoretical density	9.11	Mg/m³

a = 6.4972 Å, b = 7.2335 Å, c = 11.7320 Å
α = 90.00°, β = 123.59°, γ = 90.00°
Fractional positions:
Er 0.0789 0.2037 0.4608
Er 0.0789 0.2963 0.9608
Er 0.3439 0.7040 0.4614
Er 0.3439 0.7960 0.9614
Er 0.3998 0.0193 0.2496
Er 0.3998 0.4807 0.7496
Er 0.6002 0.5193 0.2504
Er 0.6002 0.9807 0.7504
Er 0.6561 0.2040 0.0386
Er 0.6561 0.2960 0.5386
Er 0.9211 0.7037 0.0392
Er 0.9211 0.7963 0.5392
Te 0.1474 0.1147 0.7501
Te 0.1474 0.3853 0.2501
Te 0.8526 0.6147 0.7499
Te 0.8526 0.8853 0.2499
H 0.0000 0.0000 0.0000
H 0.0000 0.5000 0.5000

[7]
VASP calculation (PBE) on crystalline ErTeH at its relaxed geometry.

M_tot	0.0	Bohr magnetons per cell
calculated volume	20.272	A^3/atom
raw total energy	-4.160	eV/atom
theoretical density	8.08	Mg/m³

a = 3.4012 Å, b = 3.4012 Å, c = 10.5147 Å
α = 90.00°, β = 90.00°, γ = 90.00°
Fractional positions:
Er 0.0000 0.0000 0.0000
Er 0.5000 0.5000 0.5000
Te 0.0000 0.0000 0.2955
Te 0.5000 0.5000 0.7955
H 0.0000 0.0000 0.5629
H 0.5000 0.5000 0.0629

[8]
VASP calculation (PBE) on crystalline ErThH at its relaxed geometry.

M_tot	0.0	Bohr magnetons per cell
excess energy over the best structure of this formula in the dataset	198.3	meV/atom
calculated volume	23.897	A^3/atom
raw total energy	-5.146	eV/atom
theoretical density	9.27	Mg/m³

a = 3.4644 Å, b = 3.4644 Å, c = 11.9464 Å
α = 90.00°, β = 90.00°, γ = 90.00°
Fractional positions:
Er 0.0000 0.0000 0.0000
Er 0.5000 0.5000 0.5000
Th 0.0000 0.0000 0.7077
Th 0.5000 0.5000 0.2077
H 0.0000 0.0000 0.1863
H 0.5000 0.5000 0.6863

[9]
VASP calculation (PBE) on crystalline ErThH2 at its relaxed geometry.

M_tot	0.0	Bohr magnetons per cell
excess energy over the best structure of this formula in the dataset	100.3	meV/atom
calculated volume	15.927	A^3/atom
raw total energy	-4.880	eV/atom
theoretical density	10.46	Mg/m³

a = 3.4742 Å, b = 3.4742 Å, c = 18.2843 Å
α = 90.00°, β = 90.00°, γ = 120.00°
Fractional positions:
Er 0.0000 0.0000 0.0000
Er 0.3333 0.6667 0.6667
Er 0.6667 0.3333 0.3333
Th 0.0000 0.0000 0.1758
Th 0.3333 0.6667 0.8425
Th 0.6667 0.3333 0.5091
H 0.0000 0.0000 0.4043
H 0.0000 0.0000 0.5982
H 0.3333 0.6667 0.0710
H 0.3333 0.6667 0.2649
H 0.6667 0.3333 0.7377
H 0.6667 0.3333 0.9316

[10]
VASP calculation (PBE) on crystalline ErThH2 at its relaxed geometry.

M_tot	0.0	Bohr magnetons per cell
excess energy over the best structure of this formula in the dataset	0.0	meV/atom
calculated volume	15.947	A^3/atom
raw total energy	-4.980	eV/atom
theoretical density	10.45	Mg/m³

a = 3.5471 Å, b = 3.5471 Å, c = 17.5618 Å
α = 90.00°, β = 90.00°, γ = 120.00°
Fractional positions:
Er 0.0000 0.0000 0.0000
Er 0.3333 0.6667 0.6667
Er 0.6667 0.3333 0.3333
Th 0.0000 0.0000 0.5000
Th 0.3333 0.6667 0.1667
Th 0.6667 0.3333 0.8333
H 0.0000 0.0000 0.2518
H 0.0000 0.0000 0.7482
H 0.3333 0.6667 0.4149
H 0.3333 0.6667 0.9184
H 0.6667 0.3333 0.0816
H 0.6667 0.3333 0.5851

[11]
VASP calculation (PBE) on crystalline Er3ThH at its relaxed geometry.

M_tot	0.0	Bohr magnetons per cell
calculated volume	24.325	A^3/atom
raw total energy	-5.031	eV/atom
theoretical density	10.03	Mg/m³

a = 4.9546 Å, b = 4.9546 Å, c = 4.9546 Å
α = 90.00°, β = 90.00°, γ = 90.00°
Fractional positions:
Er 0.0000 0.0000 0.5000
Er 0.0000 0.5000 0.0000
Er 0.5000 0.0000 0.0000
Th 0.5000 0.5000 0.5000
H 0.0000 0.0000 0.0000

[12]
VASP calculation (PBE) on crystalline Er3Th5H12 at its relaxed geometry.

M_tot	0.0	Bohr magnetons per cell
calculated volume	14.729	A^3/atom
raw total energy	-4.929	eV/atom
theoretical density	9.44	Mg/m³

a = 11.5247 Å, b = 11.5247 Å, c = 11.5247 Å
α = 109.47°, β = 109.47°, γ = 109.47°
Fractional positions:
Er 0.1250 0.2500 0.3750
Er 0.1250 0.3750 0.7500
Er 0.2500 0.3750 0.1250
Er 0.2500 0.8750 0.6250
Er 0.3750 0.1250 0.2500
Er 0.3750 0.7500 0.1250
Er 0.6250 0.2500 0.8750
Er 0.6250 0.8750 0.7500
Er 0.7500 0.1250 0.3750
Er 0.7500 0.6250 0.8750
Er 0.8750 0.6250 0.2500
Er 0.8750 0.7500 0.6250
Th 0.0000 0.0000 0.0000
Th 0.0000 0.0000 0.5000
Th 0.0000 0.5000 0.0000
Th 0.0000 0.5000 0.5000
Th 0.1250 0.7500 0.8750
Th 0.1250 0.8750 0.2500
Th 0.2500 0.1250 0.8750
Th 0.2500 0.6250 0.3750
Th 0.3750 0.2500 0.6250
Th 0.3750 0.6250 0.7500
Th 0.5000 0.0000 0.0000
Th 0.5000 0.0000 0.5000
Th 0.5000 0.5000 0.0000
Th 0.5000 0.5000 0.5000
Th 0.6250 0.3750 0.2500
Th 0.6250 0.7500 0.3750
Th 0.7500 0.3750 0.6250
Th 0.7500 0.8750 0.1250
Th 0.8750 0.1250 0.7500
Th 0.8750 0.2500 0.1250
H 0.0685 0.7301 0.6524
H 0.0685 0.8384 0.4161
H 0.0777 0.2301 0.1616
H 0.0777 0.3476 0.9161
H 0.0839 0.6616 0.4315
H 0.0839 0.9223 0.6524
H 0.1524 0.2301 0.5685
H 0.1524 0.4223 0.5839
H 0.1616 0.0777 0.2301
H 0.1616 0.5839 0.9315
H 0.2301 0.1616 0.0777
H 0.2301 0.5685 0.1524
H 0.2699 0.3476 0.9315
H 0.2699 0.4223 0.3384
H 0.3384 0.2699 0.4223
H 0.3384 0.5685 0.9161
H 0.3476 0.9161 0.0777
H 0.3476 0.9315 0.2699
H 0.4161 0.0685 0.8384
H 0.4161 0.8476 0.5777
H 0.4223 0.3384 0.2699
H 0.4223 0.5839 0.1524
H 0.4315 0.0839 0.6616
H 0.4315 0.8476 0.7699
H 0.5685 0.1524 0.2301
H 0.5685 0.9161 0.3384
H 0.5777 0.4161 0.8476
H 0.5777 0.6616 0.7301
H 0.5839 0.1524 0.4223
H 0.5839 0.9315 0.1616
H 0.6524 0.0685 0.7301
H 0.6524 0.0839 0.9223
H 0.6616 0.4315 0.0839
H 0.6616 0.7301 0.5777
H 0.7301 0.5777 0.6616
H 0.7301 0.6524 0.0685
H 0.7699 0.4315 0.8476
H 0.7699 0.8384 0.9223
H 0.8384 0.4161 0.0685
H 0.8384 0.9223 0.7699
H 0.8476 0.5777 0.4161
H 0.8476 0.7699 0.4315
H 0.9161 0.0777 0.3476
H 0.9161 0.3384 0.5685
H 0.9223 0.6524 0.0839
H 0.9223 0.7699 0.8384
H 0.9315 0.1616 0.5839
H 0.9315 0.2699 0.3476

[13]
VASP calculation (PBE) on crystalline ErTh3H8 at its relaxed geometry.

M_tot	0.0	Bohr magnetons per cell
calculated volume	12.926	A^3/atom
raw total energy	-5.035	eV/atom
theoretical density	9.33	Mg/m³

a = 5.3729 Å, b = 5.3729 Å, c = 5.3729 Å
α = 90.00°, β = 90.00°, γ = 90.00°
Fractional positions:
Er 0.0000 0.0000 0.0000
Th 0.0000 0.5000 0.5000
Th 0.5000 0.0000 0.5000
Th 0.5000 0.5000 0.0000
H 0.2406 0.2406 0.2406
H 0.2406 0.2406 0.7594
H 0.2406 0.7594 0.2406
H 0.2406 0.7594 0.7594
H 0.7594 0.2406 0.2406
H 0.7594 0.2406 0.7594
H 0.7594 0.7594 0.2406
H 0.7594 0.7594 0.7594

[14]
VASP calculation (PBE) on crystalline ErThH at its relaxed geometry.

M_tot	0.0	Bohr magnetons per cell
excess energy over the best structure of this formula in the dataset	58.0	meV/atom
calculated volume	21.471	A^3/atom
raw total energy	-5.287	eV/atom
theoretical density	10.32	Mg/m³

a = 3.5739 Å, b = 3.5739 Å, c = 5.8231 Å
α = 90.00°, β = 90.00°, γ = 120.00°
Fractional positions:
Er 0.0000 0.0000 0.0000
Th 0.6667 0.3333 0.5004
H 0.3333 0.6667 0.7693

[15]
VASP calculation (PBE) on crystalline Er5Th3H12 at its relaxed geometry.

M_tot	0.0	Bohr magnetons per cell
calculated volume	14.252	A^3/atom
raw total energy	-4.720	eV/atom
theoretical density	9.00	Mg/m³

a = 11.3989 Å, b = 11.3989 Å, c = 11.3989 Å
α = 109.47°, β = 109.47°, γ = 109.47°
Fractional positions:
Er 0.0000 0.0000 0.0000
Er 0.0000 0.0000 0.5000
Er 0.0000 0.5000 0.0000
Er 0.0000 0.5000 0.5000
Er 0.1250 0.7500 0.8750
Er 0.1250 0.8750 0.2500
Er 0.2500 0.1250 0.8750
Er 0.2500 0.6250 0.3750
Er 0.3750 0.2500 0.6250
Er 0.3750 0.6250 0.7500
Er 0.5000 0.0000 0.0000
Er 0.5000 0.0000 0.5000
Er 0.5000 0.5000 0.0000
Er 0.5000 0.5000 0.5000
Er 0.6250 0.3750 0.2500
Er 0.6250 0.7500 0.3750
Er 0.7500 0.3750 0.6250
Er 0.7500 0.8750 0.1250
Er 0.8750 0.1250 0.7500
Er 0.8750 0.2500 0.1250
Th 0.1250 0.2500 0.3750
Th 0.1250 0.3750 0.7500
Th 0.2500 0.3750 0.1250
Th 0.2500 0.8750 0.6250
Th 0.3750 0.1250 0.2500
Th 0.3750 0.7500 0.1250
Th 0.6250 0.2500 0.8750
Th 0.6250 0.8750 0.7500
Th 0.7500 0.1250 0.3750
Th 0.7500 0.6250 0.8750
Th 0.8750 0.6250 0.2500
Th 0.8750 0.7500 0.6250
H 0.0639 0.2220 0.1457
H 0.0639 0.3419 0.9182
H 0.0763 0.7220 0.6581
H 0.0763 0.8543 0.4182
H 0.0818 0.6457 0.4237
H 0.0818 0.9361 0.6581
H 0.1457 0.0639 0.2220
H 0.1457 0.5818 0.9237
H 0.1581 0.2220 0.5763
H 0.1581 0.4361 0.5818
H 0.2220 0.1457 0.0639
H 0.2220 0.5763 0.1581
H 0.2780 0.3419 0.9237
H 0.2780 0.4361 0.3543
H 0.3419 0.9182 0.0639
H 0.3419 0.9237 0.2780
H 0.3543 0.2780 0.4361
H 0.3543 0.5763 0.9182
H 0.4182 0.0763 0.8543
H 0.4182 0.8419 0.5639
H 0.4237 0.0818 0.6457
H 0.4237 0.8419 0.7780
H 0.4361 0.3543 0.2780
H 0.4361 0.5818 0.1581
H 0.5639 0.4182 0.8419
H 0.5639 0.6457 0.7220
H 0.5763 0.1581 0.2220
H 0.5763 0.9182 0.3543
H 0.5818 0.1581 0.4361
H 0.5818 0.9237 0.1457
H 0.6457 0.4237 0.0818
H 0.6457 0.7220 0.5639
H 0.6581 0.0763 0.7220
H 0.6581 0.0818 0.9361
H 0.7220 0.5639 0.6457
H 0.7220 0.6581 0.0763
H 0.7780 0.4237 0.8419
H 0.7780 0.8543 0.9361
H 0.8419 0.5639 0.4182
H 0.8419 0.7780 0.4237
H 0.8543 0.4182 0.0763
H 0.8543 0.9361 0.7780
H 0.9182 0.0639 0.3419
H 0.9182 0.3543 0.5763
H 0.9237 0.1457 0.5818
H 0.9237 0.2780 0.3419
H 0.9361 0.6581 0.0818
H 0.9361 0.7780 0.8543

[16]
VASP calculation (PBE) on crystalline Er2ThH8 at its relaxed geometry.

M_tot	0.0	Bohr magnetons per cell
calculated volume	9.681	A^3/atom
raw total energy	-4.501	eV/atom
theoretical density	8.96	Mg/m³

a = 6.3308 Å, b = 6.3308 Å, c = 6.3308 Å
α = 147.08°, β = 128.72°, γ = 62.29°
Fractional positions:
Er 0.1687 0.1687 0.0000
Er 0.8313 0.8313 0.0000
Th 0.5000 0.5000 0.0000
H 0.0676 0.3321 0.7355
H 0.2173 0.0000 0.2173
H 0.3462 0.8462 0.5000
H 0.4034 0.6679 0.7355
H 0.5966 0.3321 0.2645
H 0.6538 0.1538 0.5000
H 0.7827 0.0000 0.7827
H 0.9324 0.6679 0.2645

[17]
VASP calculation (PBE) on crystalline ErTh3H at its relaxed geometry.

M_tot	0.0	Bohr magnetons per cell
calculated volume	26.181	A^3/atom
raw total energy	-6.094	eV/atom
theoretical density	10.96	Mg/m³

a = 5.0776 Å, b = 5.0776 Å, c = 5.0776 Å
α = 90.00°, β = 90.00°, γ = 90.00°
Fractional positions:
Er 0.0000 0.0000 0.0000
Th 0.0000 0.5000 0.5000
Th 0.5000 0.0000 0.5000
Th 0.5000 0.5000 0.0000
H 0.5000 0.5000 0.5000